## TbNdHo2Se6 (PBE)

Data for crystalline TbNdHo2Se6 at its relaxed geometry.

abc: 7.2721 7.2721 7.7362
angles: 61.96 61.97 60.00
Sites, in units of the cell vectors:
Nd 0.8129 0.8129 0.5612
Se 0.6146 0.2278 0.2469
Se 0.7262 0.1280 0.7484
Se 0.3973 0.7262 0.7483
Se 0.9108 0.6146 0.2469
Se 0.1281 0.3974 0.7483
Se 0.2277 0.9107 0.2469
Tb 0.3171 0.3171 0.0486
Ho 0.5148 0.5147 0.4558
Ho 0.0121 0.0121 0.9638

Computed properties:
electronic total energy	-57.926	eV per cell
magnetic moment	0.000	Bohr magnetons per cell
formation energy (no corrections)	-18.5	eV/f.u.
space group	R3, No. 146
DOS at the Fermi energy	0.00	states/eV/cell